No. 1
DFT (PBE) results for crystalline CeTmGaPb at its relaxed geometry.

Lattice parameters (Å, degrees): 5.296 5.296 5.296 60.00 60.00 60.00
Positions (direct):
Ce: 0.000 0.000 0.000
Pb: 0.750 0.750 0.750
Tm: 0.500 0.500 0.500
Ga: 0.250 0.250 0.250

Properties
crystal system = cubic
volume = 26.26 A^3/atom
ΔH_f (0 K) = -148 kJ/mol of formula units
spin magnetization = 0.9 μB per formula unit

No. 2
DFT (PBE) results for crystalline Ce2GaPd6 at its relaxed geometry.

Lattice parameters (Å, degrees): 5.723 5.672 6.197 78.39 90.00 120.30
Positions (direct):
Ce: 0.357 0.714 0.827
Ce: 0.643 0.286 0.173
Pd: 0.869 0.738 0.701
Pd: 0.131 0.746 0.319
Pd: 0.615 0.746 0.319
Pd: 0.131 0.262 0.299
Pd: 0.869 0.254 0.681
Pd: 0.385 0.254 0.681
Ga: 0.000 0.000 0.000

Properties
crystal system = monoclinic
energy above the most stable polymorph in this dataset = 20.3 meV/atom
volume = 18.77 A^3/atom
ΔH_f (0 K) = -641 kJ/mol of formula units
spin magnetization = 1.5 μB per formula unit

No. 3
DFT (PBE) results for crystalline CeGaPd at its relaxed geometry.

Lattice parameters (Å, degrees): 4.632 4.632 4.632 60.00 60.00 60.00
Positions (direct):
Ga: 0.000 0.000 0.000
Pd: 0.250 0.250 0.250
Ce: 0.500 0.500 0.500

Properties
crystal system = cubic
volume = 23.43 A^3/atom
ΔH_f (0 K) = -169 kJ/mol of formula units
spin magnetization = 0.4 μB per formula unit

No. 4
DFT (PBE) results for crystalline Ce2GaPd at its relaxed geometry.

Lattice parameters (Å, degrees): 3.235 3.235 8.462 90.00 90.00 90.00
Positions (direct):
Ce: 0.000 0.000 0.242
Ce: 0.000 0.000 0.758
Pd: 0.500 0.500 0.000
Ga: 0.500 0.500 0.500

Properties
crystal system = tetragonal
volume = 22.13 A^3/atom
ΔH_f (0 K) = -204 kJ/mol of formula units
spin magnetization = 0.0 μB per formula unit

No. 5
DFT (PBE) results for crystalline Ce3Ga2Pd2 at its relaxed geometry.

Lattice parameters (Å, degrees): 5.708 8.195 13.453 90.00 90.00 90.00
Positions (direct):
Pd: 0.623 0.042 0.593
Pd: 0.377 0.958 0.407
Pd: 0.377 0.542 0.907
Pd: 0.377 0.958 0.093
Pd: 0.623 0.042 0.907
Pd: 0.377 0.542 0.593
Pd: 0.623 0.458 0.407
Pd: 0.623 0.458 0.093
Ga: 0.677 0.750 0.500
Ga: 0.867 0.111 0.750
Ga: 0.867 0.389 0.250
Ga: 0.133 0.889 0.250
Ga: 0.133 0.611 0.750
Ga: 0.323 0.250 0.500
Ga: 0.323 0.250 0.000
Ga: 0.677 0.750 0.000
Ce: 0.361 0.259 0.750
Ce: 0.852 0.103 0.399
Ce: 0.639 0.741 0.250
Ce: 0.639 0.759 0.750
Ce: 0.148 0.897 0.899
Ce: 0.361 0.241 0.250
Ce: 0.852 0.397 0.601
Ce: 0.852 0.397 0.899
Ce: 0.148 0.603 0.399
Ce: 0.148 0.603 0.101
Ce: 0.148 0.897 0.601
Ce: 0.852 0.103 0.101

Properties
crystal system = orthorhombic
volume = 22.47 A^3/atom
ΔH_f (0 K) = -450 kJ/mol of formula units
spin magnetization = 2.4 μB per formula unit

No. 6
DFT (PBE) results for crystalline CeGaPd at its relaxed geometry.

Lattice parameters (Å, degrees): 4.524 7.776 14.110 90.00 90.00 90.00
Positions (direct):
Pd: 0.000 0.584 0.352
Pd: 0.000 0.913 0.116
Pd: 0.000 0.584 0.648
Pd: 0.500 0.087 0.616
Pd: 0.500 0.087 0.384
Pd: 0.000 0.913 0.884
Pd: 0.500 0.416 0.852
Pd: 0.500 0.416 0.148
Ga: 0.000 0.916 0.597
Ga: 0.000 0.583 0.853
Ga: 0.500 0.084 0.097
Ga: 0.500 0.417 0.353
Ga: 0.000 0.583 0.147
Ga: 0.500 0.084 0.903
Ga: 0.000 0.916 0.403
Ga: 0.500 0.417 0.647
Ce: 0.500 0.718 0.000
Ce: 0.000 0.282 0.500
Ce: 0.000 0.214 0.754
Ce: 0.500 0.786 0.746
Ce: 0.500 0.720 0.500
Ce: 0.000 0.280 0.000
Ce: 0.000 0.214 0.246
Ce: 0.500 0.786 0.254

Properties
crystal system = orthorhombic
volume = 20.68 A^3/atom
ΔH_f (0 K) = -230 kJ/mol of formula units
spin magnetization = 0.4 μB per formula unit